Entry 1:
Density functional theory data (PBE) for ZnAg2Ru after structural relaxation.

Lattice parameters (Å, degrees): 2.7582 2.7582 8.3727 90.00 90.00 90.00
Positions (direct):
Ag (0.0000, 0.0000, 0.9932)
Ag (0.0000, 0.0000, 0.5068)
Ru (0.5000, 0.5000, 0.2500)
Zn (0.5000, 0.5000, 0.7500)

## Properties
For the total energy, the calculation gives -0.1375 Ha/atom. The space group is No. 123. The calculation puts the spin magnetization at 1.07 μB per cell. For the formation energy, the calculation gives 0.32 eV/atom.

=====

Entry 2:
Density functional theory data (PBE) for Na2InGa2 after structural relaxation.

Lattice parameters (Å, degrees): 8.4032 8.4032 3.4772 90.00 90.00 90.00
Positions (direct):
Na (0.3689, 0.8689, 0.0000)
Na (0.8689, 0.6311, 0.0000)
Na (0.6311, 0.1311, 0.0000)
Na (0.1311, 0.3689, 0.0000)
Ga (0.1684, 0.6684, 0.5000)
Ga (0.6684, 0.8316, 0.5000)
Ga (0.8316, 0.3316, 0.5000)
Ga (0.3316, 0.1684, 0.5000)
In (0.0000, 0.0000, 0.0000)
In (0.5000, 0.5000, 0.0000)

## Properties
As for the energy above the most stable polymorph in this dataset: 189 meV per atom. For the total energy, the calculation gives -0.0803 Ha/atom. The space group is No. 127. The calculation puts the spin magnetization at 0.00 μB per cell. For the formation energy, the calculation gives 0.10 eV/atom.

=====

Entry 3:
Density functional theory data (PBE) for CaFe2Se after structural relaxation.

Lattice parameters (Å, degrees): 4.2687 4.0068 4.7301 90.00 90.00 90.00
Positions (direct):
Ca (0.5000, 0.7500, 0.7500)
Fe (0.0000, 0.2498, 0.9864)
Fe (0.0000, 0.2502, 0.5136)
Se (0.5000, 0.2500, 0.2500)

## Properties
As for the energy above the most stable polymorph in this dataset: 226 meV per atom. For the energy relative to the elements, uncorrected, the calculation gives 1 kJ per mole of atoms. For the total energy, the calculation gives -0.2056 Ha/atom. The space group is No. 47. The calculation puts the spin magnetization at 4.79 μB per cell.

=====

Which of these has the lowest spin magnetization? Na2InGa2